1.
SrCd2Co2: single point on PBEsol structure, SCAN. Values from VASP.

The structure in Quantum ESPRESSO input format:
```
&SYSTEM
  ibrav = 0, nat = 5, ntyp = 3
/
ATOMIC_SPECIES
Sr 87.62 Sr.upf
Co 58.93 Co.upf
Cd 112.41 Cd.upf
CELL_PARAMETERS angstrom
4.344 0.000 0.000
0.000 4.344 0.000
-2.172 -2.172 5.272
ATOMIC_POSITIONS crystal
Sr 0.000 0.000 0.000
Co 0.600 0.600 0.201
Co 0.400 0.400 0.799
Cd 0.750 0.250 0.500
Cd 0.250 0.750 0.500
```

Values from the calculation:
density: 7.183 g cm⁻³
calculated formation energy: 194 meV/atom
M_tot: 3.092 μB per formula unit
electronic total energy: -23.35 eV/atom
V: 19.90 Å³ per atom
space-group type: I4/mmm

***

2.
Ag3Mo3AsO13: single point on PBEsol structure, SCAN. Values from VASP.

The structure in Quantum ESPRESSO input format:
```
&SYSTEM
  ibrav = 0, nat = 40, ntyp = 4
/
ATOMIC_SPECIES
As 74.92 As.upf
Ag 107.87 Ag.upf
O 16.00 O.upf
Mo 95.94 Mo.upf
CELL_PARAMETERS angstrom
-4.465 5.801 -3.392
-4.835 -3.503 5.453
6.619 5.638 3.868
ATOMIC_POSITIONS crystal
As 0.931 0.277 0.159
As 0.069 0.723 0.841
Ag 0.625 0.366 0.577
Ag 0.375 0.634 0.423
Ag 0.267 0.541 0.071
Ag 0.928 0.665 0.445
Ag 0.733 0.459 0.929
Ag 0.072 0.335 0.555
O 0.444 0.003 0.873
O 0.556 0.997 0.127
O 0.973 0.732 0.992
O 0.750 0.122 0.426
O 0.745 0.933 0.864
O 0.599 0.688 0.983
O 0.540 0.378 0.334
O 0.250 0.878 0.574
O 0.255 0.067 0.136
O 0.062 0.465 0.336
O 0.806 0.852 0.578
O 0.538 0.745 0.280
O 0.462 0.255 0.720
O 0.027 0.268 0.008
O 0.094 0.932 0.824
O 0.116 0.179 0.734
O 0.218 0.798 0.254
O 0.401 0.312 0.017
O 0.267 0.685 0.885
O 0.938 0.535 0.664
O 0.733 0.315 0.115
O 0.782 0.202 0.746
O 0.194 0.148 0.422
O 0.460 0.622 0.666
O 0.906 0.068 0.176
O 0.884 0.821 0.266
Mo 0.308 0.086 0.749
Mo 0.109 0.946 0.237
Mo 0.692 0.914 0.251
Mo 0.891 0.054 0.763
Mo 0.477 0.210 0.136
Mo 0.523 0.790 0.864
```

Values from the calculation:
density: 5.610 g cm⁻³
formation energy from raw total energies: -149.0 kJ per mole of atoms
M_tot: 0.000 μB per formula unit
electronic total energy: -16.54 eV/atom
V: 13.24 Å³ per atom
space-group type: P-1

***

3.
BaAl2Br: single point on PBEsol structure, SCAN. Values from VASP.

The structure in Quantum ESPRESSO input format:
```
&SYSTEM
  ibrav = 0, nat = 4, ntyp = 3
/
ATOMIC_SPECIES
Br 79.90 Br.upf
Al 26.98 Al.upf
Ba 137.33 Ba.upf
CELL_PARAMETERS angstrom
-1.493 -4.321 1.110
-0.807 -1.062 -5.218
5.770 0.999 1.683
ATOMIC_POSITIONS crystal
Br 0.207 0.707 0.414
Al 0.722 0.222 0.444
Al 0.097 0.097 0.194
Ba 0.474 0.474 0.948
```

Values from the calculation:
density: 3.602 g cm⁻³
formation energy from raw total energies: -30.8 kJ per mole of atoms
M_tot: 0.001 μB per formula unit
electronic total energy: -18.95 eV/atom
V: 31.25 Å³ per atom
space-group type: Imm2

***

4.
InAgP2: single point on PBEsol structure, SCAN. Values from VASP.

The structure in Quantum ESPRESSO input format:
```
&SYSTEM
  ibrav = 0, nat = 4, ntyp = 3
/
ATOMIC_SPECIES
Ag 107.87 Ag.upf
P 30.97 P.upf
In 114.82 In.upf
CELL_PARAMETERS angstrom
3.213 0.000 0.000
0.000 4.636 0.000
-1.607 -2.318 4.878
ATOMIC_POSITIONS crystal
Ag 0.487 0.487 0.974
P 0.036 0.036 0.071
P 0.701 0.201 0.403
In 0.276 0.776 0.552
```

Values from the calculation:
density: 6.505 g cm⁻³
calculated formation energy: 300 meV/atom
M_tot: 0.000 μB per formula unit
electronic total energy: -21.09 eV/atom
V: 18.16 Å³ per atom
space-group type: Imm2

***

5.
Na2TaReBr: single point on PBEsol structure, SCAN. Values from VASP.

The structure in Quantum ESPRESSO input format:
```
&SYSTEM
  ibrav = 0, nat = 5, ntyp = 4
/
ATOMIC_SPECIES
Na 22.99 Na.upf
Ta 180.95 Ta.upf
Re 186.21 Re.upf
Br 79.90 Br.upf
CELL_PARAMETERS angstrom
4.851 0.000 0.000
0.000 5.994 0.000
0.000 0.000 5.994
ATOMIC_POSITIONS crystal
Na 0.000 0.500 0.000
Na 0.000 0.000 0.500
Ta 0.000 0.000 0.000
Re 0.500 0.500 0.500
Br 0.500 0.000 0.000
```

Values from the calculation:
density: 4.697 g cm⁻³
formation energy from raw total energies: 203.1 kJ per mole of atoms
M_tot: 7.866 μB per formula unit
electronic total energy: -31.01 eV/atom
V: 34.86 Å³ per atom
space-group type: P4/mmm

***

6.
TbY3: single point on PBEsol structure, SCAN. Values from VASP.

The structure in Quantum ESPRESSO input format:
```
&SYSTEM
  ibrav = 0, nat = 4, ntyp = 2
/
ATOMIC_SPECIES
Y 88.91 Y.upf
Tb 158.93 Tb.upf
CELL_PARAMETERS angstrom
4.948 0.000 0.000
0.000 4.948 0.000
0.000 0.000 4.948
ATOMIC_POSITIONS crystal
Y 0.000 0.500 0.500
Y 0.500 0.500 0.000
Y 0.500 0.000 0.500
Tb 0.000 0.000 0.000
```

Values from the calculation:
density: 5.834 g cm⁻³
calculated formation energy: 50 meV/atom
M_tot: 0.000 μB per formula unit
electronic total energy: -32.52 eV/atom
V: 30.29 Å³ per atom
space-group type: Pm-3m

***

7.
LaReSb: single point on PBEsol structure, SCAN. Values from VASP.

The structure in Quantum ESPRESSO input format:
```
&SYSTEM
  ibrav = 0, nat = 3, ntyp = 3
/
ATOMIC_SPECIES
Sb 121.76 Sb.upf
Re 186.21 Re.upf
La 138.91 La.upf
CELL_PARAMETERS angstrom
-3.824 2.103 -1.969
-3.901 0.833 2.647
-1.156 4.484 1.215
ATOMIC_POSITIONS crystal
Sb 0.250 0.250 0.250
Re 0.500 0.500 0.500
La 0.000 0.000 0.000
```

Values from the calculation:
density: 9.564 g cm⁻³
formation energy from raw total energies: 50.9 kJ per mole of atoms
M_tot: 1.431 μB per formula unit
electronic total energy: -49.96 eV/atom
V: 25.86 Å³ per atom
space-group type: F-43m

***

8.
Sr5Ca3Ti3Mn5O24: single point on PBEsol structure, SCAN. Values from VASP.

The structure in Quantum ESPRESSO input format:
```
&SYSTEM
  ibrav = 0, nat = 40, ntyp = 5
/
ATOMIC_SPECIES
O 16.00 O.upf
Mn 54.94 Mn.upf
Ti 47.87 Ti.upf
Ca 40.08 Ca.upf
Sr 87.62 Sr.upf
CELL_PARAMETERS angstrom
-0.178 -0.520 -7.559
-6.413 -4.067 0.454
-4.107 6.409 -0.359
ATOMIC_POSITIONS crystal
O 0.473 0.471 0.248
O 0.509 0.024 0.247
O 0.483 0.981 0.756
O 0.244 0.471 0.969
O 0.756 0.032 0.520
O 0.530 0.245 0.970
O 0.756 0.470 0.480
O 0.476 0.754 0.019
O 0.031 0.470 0.247
O 0.522 0.751 0.481
O 0.974 0.751 0.481
O 0.249 0.044 0.017
O 0.756 0.520 0.022
O 0.470 0.250 0.527
O 0.038 0.250 0.525
O 0.026 0.751 0.016
O 0.967 0.249 0.967
O 0.969 0.515 0.748
O 0.244 0.524 0.519
O 0.024 0.983 0.751
O 0.524 0.518 0.749
O 0.991 0.026 0.250
O 0.752 0.975 0.990
O 0.245 0.980 0.487
Mn 0.001 0.495 0.999
Mn 0.000 0.497 0.502
Mn 0.000 0.003 0.999
Mn 0.498 0.003 0.000
Mn 0.000 0.003 0.503
Ti 0.498 0.498 0.501
Ti 0.498 0.496 0.999
Ti 0.498 0.002 0.503
Ca 0.245 0.240 0.266
Ca 0.246 0.235 0.760
Ca 0.753 0.263 0.741
Sr 0.754 0.251 0.237
Sr 0.753 0.759 0.243
Sr 0.246 0.745 0.758
Sr 0.753 0.758 0.747
Sr 0.245 0.747 0.256
```

Values from the calculation:
density: 5.142 g cm⁻³
formation energy from raw total energies: -286.2 kJ per mole of atoms
M_tot: 15.235 μB per formula unit
electronic total energy: -13.70 eV/atom
V: 10.98 Å³ per atom
space-group type: P1